{
  "formula": "InGaBrCl2",
  "functional": "GGA-PBE",
  "state": "relaxed",
  "cell": [[5.092, 0.000, 0.000], [0.000, 5.092, 0.000], [0.000, 0.000, 5.476]],
  "species": ["In", "Ga", "Br", "Cl", "Cl"],
  "fractional_positions": [[0.000, 0.000, 0.000], [0.500, 0.500, 0.500], [0.500, 0.500, 0.000], [0.000, 0.500, 0.500], [0.500, 0.000, 0.500]],
  "e_form_raw_ev_per_atom": -0.750
}